A) NbCuPd3: relaxed, GGA-PBE.

Values from the calculation:
The value obtained for the density of states at the Fermi level is 7.97 states/eV per cell. As for the space-group type: No. 15.

Lattice parameters (Å, degrees): 7.264 7.264 4.979 103.03 103.03 132.58
Fractional coordinates of all 10 atoms:
Nb 0.071 0.929 0.750
Nb 0.929 0.071 0.250
Cu 0.228 0.772 0.250
Cu 0.772 0.228 0.750
Pd 0.000 0.500 0.500
Pd 0.271 0.443 0.907
Pd 0.443 0.271 0.407
Pd 0.500 0.000 0.000
Pd 0.557 0.729 0.593
Pd 0.729 0.557 0.093


B) NbCuPd3: relaxed, GGA-PBE.

Values from the calculation:
The value obtained for the density of states at the Fermi level is 15.49 states/eV per cell. As for the space-group type: No. 62.

Lattice parameters (Å, degrees): 6.465 7.291 6.929 90.00 90.00 90.00
Fractional coordinates of all 20 atoms:
Nb 0.196 0.250 0.055
Nb 0.304 0.750 0.555
Nb 0.696 0.250 0.445
Nb 0.804 0.750 0.945
Cu 0.000 0.000 0.500
Cu 0.000 0.500 0.500
Cu 0.500 0.000 0.000
Cu 0.500 0.500 0.000
Pd 0.132 0.558 0.844
Pd 0.132 0.942 0.844
Pd 0.142 0.750 0.208
Pd 0.358 0.250 0.708
Pd 0.368 0.058 0.344
Pd 0.368 0.442 0.344
Pd 0.632 0.558 0.656
Pd 0.632 0.942 0.656
Pd 0.642 0.750 0.292
Pd 0.858 0.250 0.792
Pd 0.868 0.058 0.156
Pd 0.868 0.442 0.156


Relative to the most stable structure, the computed energies are A) 41; B) 0, all in meV/atom.


A) Nb2CuPd2: relaxed, GGA-PBE.

Values from the calculation:
The value obtained for the density of states at the Fermi level is 12.29 states/eV per cell. As for the space-group type: No. 12.

Lattice parameters (Å, degrees): 7.431 7.431 4.976 94.25 94.25 35.92
Fractional coordinates of all 10 atoms:
Nb 0.138 0.138 0.183
Nb 0.348 0.348 0.206
Nb 0.652 0.652 0.794
Nb 0.862 0.862 0.817
Cu 0.057 0.057 0.685
Cu 0.943 0.943 0.315
Pd 0.248 0.248 0.674
Pd 0.454 0.454 0.727
Pd 0.546 0.546 0.273
Pd 0.752 0.752 0.326


B) Nb2CuPd2: relaxed, GGA-PBE.

Values from the calculation:
The value obtained for the density of states at the Fermi level is 7.36 states/eV per cell. As for the space-group type: No. 127.

Lattice parameters (Å, degrees): 7.753 7.753 2.839 90.00 90.00 90.00
Fractional coordinates of all 10 atoms:
Nb 0.172 0.328 0.000
Nb 0.328 0.828 0.000
Nb 0.672 0.172 0.000
Nb 0.828 0.672 0.000
Cu 0.000 0.000 0.500
Cu 0.500 0.500 0.500
Pd 0.125 0.625 0.500
Pd 0.375 0.125 0.500
Pd 0.625 0.875 0.500
Pd 0.875 0.375 0.500


Relative to the most stable structure, the computed energies are A) 0; B) 121, all in meV/atom.


A) NbCu2Pd: relaxed, GGA-PBE.

Values from the calculation:
The value obtained for the density of states at the Fermi level is 8.45 states/eV per cell. As for the space-group type: No. 122.

Lattice parameters (Å, degrees): 5.566 5.566 5.566 102.59 102.59 124.34
Fractional coordinates of all 8 atoms:
Nb 0.000 0.000 0.000
Nb 0.750 0.250 0.500
Cu 0.131 0.125 0.506
Cu 0.375 0.869 0.994
Cu 0.619 0.625 0.494
Cu 0.875 0.381 0.006
Pd 0.250 0.750 0.500
Pd 0.500 0.500 0.000


B) NbCu2Pd: relaxed, GGA-PBE.

Values from the calculation:
The value obtained for the density of states at the Fermi level is 2.89 states/eV per cell. As for the space-group type: No. 225.

Lattice parameters (Å, degrees): 4.323 4.323 4.323 60.00 60.00 60.00
Fractional coordinates of all 4 atoms:
Nb 0.000 0.000 0.000
Cu 0.250 0.250 0.250
Cu 0.750 0.750 0.750
Pd 0.500 0.500 0.500


C) NbCu2Pd: relaxed, GGA-PBE.

Values from the calculation:
The value obtained for the density of states at the Fermi level is 2.59 states/eV per cell. As for the space-group type: No. 123.

Lattice parameters (Å, degrees): 2.856 2.856 7.088 90.00 90.00 90.00
Fractional coordinates of all 4 atoms:
Nb 0.000 0.000 0.000
Cu 0.500 0.500 0.264
Cu 0.500 0.500 0.736
Pd 0.000 0.000 0.500


Relative to the most stable structure, the computed energies are A) 476; B) 0; C) 9, all in meV/atom.


A) NbCuPd: relaxed, GGA-PBE.

Values from the calculation:
The value obtained for the density of states at the Fermi level is 4.63 states/eV per cell. As for the space-group type: No. 63.

Lattice parameters (Å, degrees): 8.493 8.493 3.911 90.00 90.00 160.80
Fractional coordinates of all 6 atoms:
Nb 0.200 0.800 0.750
Nb 0.800 0.200 0.250
Cu 0.039 0.961 0.750
Cu 0.961 0.039 0.250
Pd 0.389 0.611 0.750
Pd 0.611 0.389 0.250


B) NbCuPd: relaxed, GGA-PBE.

Values from the calculation:
The value obtained for the density of states at the Fermi level is 3.14 states/eV per cell. As for the space-group type: No. 187.

Lattice parameters (Å, degrees): 4.383 4.383 2.730 90.00 90.00 120.00
Fractional coordinates of all 3 atoms:
Nb 0.000 0.000 0.000
Cu 0.333 0.667 0.500
Pd 0.667 0.333 0.500


Relative to the most stable structure, the computed energies are A) 114; B) 0, all in meV/atom.


A) NbCuPd: relaxed, GGA-PBE.

Values from the calculation:
The value obtained for the density of states at the Fermi level is 5.30 states/eV per cell. As for the space-group type: No. 8.

Lattice parameters (Å, degrees): 5.388 5.388 7.602 118.65 118.65 29.48
Fractional coordinates of all 6 atoms:
Nb 0.000 0.000 0.000
Nb 0.233 0.233 0.716
Cu 0.713 0.713 0.371
Cu 0.992 0.992 0.353
Pd 0.465 0.465 0.638
Pd 0.742 0.742 0.040


B) NbCuPd: relaxed, GGA-PBE.

Values from the calculation:
The value obtained for the density of states at the Fermi level is 2.60 states/eV per cell. As for the space-group type: No. 107.

Lattice parameters (Å, degrees): 6.070 6.070 6.070 153.17 153.17 38.30
Fractional coordinates of all 3 atoms:
Nb 0.000 0.000 0.000
Cu 0.332 0.332 0.000
Pd 0.677 0.677 0.000


Relative to the most stable structure, the computed energies are A) 133; B) 0, all in meV/atom.


A) Nb2Cu2Pd: relaxed, GGA-PBE.

Values from the calculation:
The value obtained for the density of states at the Fermi level is 6.60 states/eV per cell. As for the space-group type: No. 127.

Lattice parameters (Å, degrees): 7.712 7.712 2.706 90.00 90.00 90.00
Fractional coordinates of all 10 atoms:
Nb 0.131 0.369 0.000
Nb 0.369 0.869 0.000
Nb 0.631 0.131 0.000
Nb 0.869 0.631 0.000
Cu 0.166 0.666 0.500
Cu 0.334 0.166 0.500
Cu 0.666 0.834 0.500
Cu 0.834 0.334 0.500
Pd 0.000 0.000 0.000
Pd 0.500 0.500 0.000


B) Nb2Cu2Pd: relaxed, GGA-PBE.

Values from the calculation:
The value obtained for the density of states at the Fermi level is 11.97 states/eV per cell. As for the space-group type: No. 127.

Lattice parameters (Å, degrees): 7.184 7.184 2.985 90.00 90.00 90.00
Fractional coordinates of all 10 atoms:
Nb 0.174 0.326 0.000
Nb 0.326 0.826 0.000
Nb 0.674 0.174 0.000
Nb 0.826 0.674 0.000
Cu 0.122 0.622 0.500
Cu 0.378 0.122 0.500
Cu 0.622 0.878 0.500
Cu 0.878 0.378 0.500
Pd 0.000 0.000 0.500
Pd 0.500 0.500 0.500


C) Nb2Cu2Pd: relaxed, GGA-PBE.

Values from the calculation:
The value obtained for the density of states at the Fermi level is 5.28 states/eV per cell. As for the space-group type: No. 139.

Lattice parameters (Å, degrees): 8.275 8.275 8.275 157.79 157.79 31.61
Fractional coordinates of all 5 atoms:
Nb 0.108 0.108 0.000
Nb 0.892 0.892 0.000
Cu 0.250 0.750 0.500
Cu 0.750 0.250 0.500
Pd 0.500 0.500 0.000


Relative to the most stable structure, the computed energies are A) 192; B) 0; C) 270, all in meV/atom.


A) NbCuPd5: relaxed, GGA-PBE.

Values from the calculation:
The value obtained for the density of states at the Fermi level is 6.32 states/eV per cell. As for the space-group type: No. 74.

Lattice parameters (Å, degrees): 7.228 7.228 7.228 118.36 80.64 133.44
Fractional coordinates of all 14 atoms:
Nb 0.469 0.219 0.250
Nb 0.531 0.781 0.750
Cu 0.000 0.000 0.000
Cu 0.500 0.000 0.500
Pd 0.040 0.790 0.250
Pd 0.127 0.296 0.412
Pd 0.127 0.715 0.831
Pd 0.384 0.296 0.669
Pd 0.384 0.715 0.088
Pd 0.616 0.285 0.912
Pd 0.616 0.704 0.331
Pd 0.873 0.285 0.169
Pd 0.873 0.704 0.588
Pd 0.960 0.210 0.750


B) NbCuPd5: relaxed, GGA-PBE.

Values from the calculation:
The value obtained for the density of states at the Fermi level is 4.88 states/eV per cell. As for the space-group type: No. 123.

Lattice parameters (Å, degrees): 4.065 4.065 6.796 90.00 90.00 90.00
Fractional coordinates of all 7 atoms:
Nb 0.000 0.000 0.000
Cu 0.500 0.500 0.500
Pd 0.000 0.500 0.274
Pd 0.000 0.500 0.726
Pd 0.500 0.000 0.274
Pd 0.500 0.000 0.726
Pd 0.500 0.500 0.000


Relative to the most stable structure, the computed energies are A) 156; B) 0, all in meV/atom.


A) TaNbCuPd: relaxed, GGA-PBE.

Values from the calculation:
The value obtained for the density of states at the Fermi level is 4.08 states/eV per cell. As for the space-group type: No. 99.

Lattice parameters (Å, degrees): 3.293 3.293 5.959 90.00 90.00 90.00
Fractional coordinates of all 4 atoms:
Ta 0.000 0.000 0.000
Nb 0.500 0.500 0.287
Cu 0.000 0.000 0.518
Pd 0.500 0.500 0.753


B) TaNbCuPd: relaxed, GGA-PBE.

Values from the calculation:
The value obtained for the density of states at the Fermi level is 4.85 states/eV per cell. As for the space-group type: No. 216.

Lattice parameters (Å, degrees): 4.510 4.510 4.510 60.00 60.00 60.00
Fractional coordinates of all 4 atoms:
Ta 0.000 0.000 0.000
Nb 0.750 0.750 0.750
Cu 0.500 0.500 0.500
Pd 0.250 0.250 0.250


Relative to the most stable structure, the computed energies are A) 0; B) 265, all in meV/atom.


A) Nb2Cu2Pt: relaxed, GGA-PBE.

Values from the calculation:
The value obtained for the density of states at the Fermi level is 13.62 states/eV per cell. As for the space-group type: No. 127.

Lattice parameters (Å, degrees): 6.592 6.592 3.526 90.00 90.00 90.00
Fractional coordinates of all 10 atoms:
Nb 0.171 0.329 0.000
Nb 0.329 0.829 0.000
Nb 0.671 0.171 0.000
Nb 0.829 0.671 0.000
Cu 0.129 0.629 0.500
Cu 0.371 0.129 0.500
Cu 0.629 0.871 0.500
Cu 0.871 0.371 0.500
Pt 0.000 0.000 0.500
Pt 0.500 0.500 0.500


B) Nb2Cu2Pt: relaxed, GGA-PBE.

Values from the calculation:
The value obtained for the density of states at the Fermi level is 3.99 states/eV per cell. As for the space-group type: No. 139.

Lattice parameters (Å, degrees): 6.240 6.240 6.240 144.32 144.32 51.35
Fractional coordinates of all 5 atoms:
Nb 0.250 0.750 0.500
Nb 0.750 0.250 0.500
Cu 0.096 0.096 0.000
Cu 0.904 0.904 0.000
Pt 0.500 0.500 0.000


Relative to the most stable structure, the computed energies are A) 0; B) 438, all in meV/atom.


A) NbCuPt3: relaxed, GGA-PBE.

Values from the calculation:
The value obtained for the density of states at the Fermi level is 5.50 states/eV per cell. As for the space-group type: No. 62.

Lattice parameters (Å, degrees): 5.548 3.975 13.952 90.00 90.00 90.00
Fractional coordinates of all 20 atoms:
Nb 0.115 0.250 0.147
Nb 0.385 0.750 0.647
Nb 0.615 0.250 0.353
Nb 0.885 0.750 0.853
Cu 0.113 0.250 0.550
Cu 0.387 0.750 0.050
Cu 0.613 0.250 0.950
Cu 0.887 0.750 0.450
Pt 0.110 0.250 0.351
Pt 0.120 0.250 0.950
Pt 0.132 0.250 0.748
Pt 0.368 0.750 0.248
Pt 0.380 0.750 0.450
Pt 0.390 0.750 0.851
Pt 0.610 0.250 0.149
Pt 0.620 0.250 0.550
Pt 0.632 0.250 0.752
Pt 0.868 0.750 0.252
Pt 0.880 0.750 0.050
Pt 0.890 0.750 0.649


B) NbCuPt3: relaxed, GGA-PBE.

Values from the calculation:
The value obtained for the density of states at the Fermi level is 7.96 states/eV per cell. As for the space-group type: No. 221.

Lattice parameters (Å, degrees): 4.526 4.526 4.526 90.00 90.00 90.00
Fractional coordinates of all 5 atoms:
Nb 0.000 0.000 0.000
Cu 0.500 0.500 0.500
Pt 0.000 0.500 0.500
Pt 0.500 0.000 0.500
Pt 0.500 0.500 0.000


Relative to the most stable structure, the computed energies are A) 0; B) 1319, all in meV/atom.


A) RbNb2Cu: relaxed, GGA-PBE.

Values from the calculation:
The value obtained for the density of states at the Fermi level is 3.94 states/eV per cell. As for the space-group type: No. 225.

Lattice parameters (Å, degrees): 4.756 4.756 4.756 60.00 60.00 60.00
Fractional coordinates of all 4 atoms:
Rb 0.000 0.000 0.000
Nb 0.250 0.250 0.250
Nb 0.750 0.750 0.750
Cu 0.500 0.500 0.500


B) RbNb2Cu: relaxed, GGA-PBE.

Values from the calculation:
The value obtained for the density of states at the Fermi level is 5.10 states/eV per cell. As for the space-group type: No. 122.

Lattice parameters (Å, degrees): 11.451 11.451 11.451 159.85 159.85 28.65
Fractional coordinates of all 8 atoms:
Rb 0.000 0.000 0.000
Rb 0.750 0.250 0.500
Nb 0.161 0.625 0.036
Nb 0.375 0.411 0.536
Nb 0.589 0.125 0.964
Nb 0.875 0.839 0.464
Cu 0.250 0.750 0.500
Cu 0.500 0.500 0.000


Relative to the most stable structure, the computed energies are A) 290; B) 0, all in meV/atom.